# 1
The following is a DFT calculation (PBE) of a relaxed structure of GeIrOs2F.

As for the density: 14.24 g/cm³. For the total moment, the calculation gives 1.1 μB/cell.

a b c (Å): 4.089 4.632 4.089
angles (deg): 90.00 90.00 90.00
Last column: magnetic moment on the atom in μB.
Sites, in units of the cell vectors:
1 Ir 0.000 0.500 0.000  0.07
2 Os 0.500 0.000 0.000  0.39
3 F 0.000 0.000 0.000  0.02
4 Os 0.000 0.000 0.500  0.59
5 Ge 0.500 0.500 0.500  0.00


# 2
The following is a DFT calculation (PBE) of a relaxed structure of GeIr2PdF.

As for the density: 8.56 g/cm³. For the total moment, the calculation gives 3.7 μB/cell.

a b c (Å): 4.900 4.704 4.900
angles (deg): 90.00 90.00 90.00
Last column: magnetic moment on the atom in μB.
Sites, in units of the cell vectors:
1 Ir 0.000 0.000 0.500  1.96
2 F 0.500 0.500 0.500  0.17
3 Ge 0.000 0.500 0.000  -0.04
4 Pd 0.000 0.000 0.000  0.36
5 Ir 0.500 0.000 0.000  1.14


# 3
The following is a DFT calculation (PBE) of a relaxed structure of GeIr2PdF.

As for the density: 9.70 g/cm³. For the total moment, the calculation gives 2.3 μB/cell.

a b c (Å): 4.614 4.686 4.614
angles (deg): 90.00 90.00 90.00
Last column: magnetic moment on the atom in μB.
Sites, in units of the cell vectors:
1 Pd 0.000 0.500 0.000  0.11
2 Ir 0.500 0.000 0.000  0.98
3 F 0.500 0.500 0.500  0.16
4 Ir 0.000 0.000 0.500  0.96
5 Ge 0.000 0.000 0.000  -0.03


# 4
The following is a DFT calculation (PBE) of a relaxed structure of GeIrPtF2.

As for the density: 10.09 g/cm³. For the total moment, the calculation gives 0.0 μB/cell.

a b c (Å): 3.895 5.402 3.895
angles (deg): 90.00 90.00 90.00
Sites, in units of the cell vectors:
1 F 0.000 0.000 0.500
2 Ir 0.000 0.000 0.000
3 F 0.500 0.000 0.000
4 Pt 0.500 0.500 0.500
5 Ge 0.000 0.500 0.000


So what do the calculations give for energy relative to the elements, uncorrected? Going down the list: 1581; 1480; 1021; -191 meV per atom.
So what do the calculations give for Fermi-level density of states? Going down the list: 1.357; 1.756; 1.234; 1.005 states/eV/atom.